# Tl8InSb2 | Alexandria via LeMat-Bulk | PBE | optimized geometry
data_Tl8InSb2
_chemical_formula_sum 'Tl8 In1 Sb2'
_cell_length_a 4.966
_cell_length_b 7.899
_cell_length_c 13.863
_cell_angle_alpha 139.64
_cell_angle_beta 100.32
_cell_angle_gamma 90.00
_space_group_name_H-M_alt 'P 1'
_space_group_IT_number 1
loop_
_space_group_symop_operation_xyz
'x,y,z'
loop_
_atom_site_label
_atom_site_type_symbol
_atom_site_fract_x
_atom_site_fract_y
_atom_site_fract_z
_atom_site_occupancy
Tl1 Tl 0.590 0.619 0.180 1
Tl2 Tl 0.321 0.725 0.641 1
Tl3 Tl 0.228 0.091 0.455 1
Tl4 Tl 0.959 0.175 0.918 1
Tl5 Tl 0.772 0.909 0.545 1
Tl6 Tl 0.679 0.275 0.359 1
Tl7 Tl 0.410 0.381 0.820 1
Tl8 Tl 0.041 0.825 0.082 1
In1 In 0.500 0.000 0.000 1
Sb1 Sb 0.135 0.451 0.269 1
Sb2 Sb 0.865 0.549 0.731 1
# Calculated density, g/cm3: 9.780
# SG: C2/m
# Crystal system: monoclinic

***

# TlInSb3 | Alexandria via LeMat-Bulk | PBE | optimized geometry
data_TlInSb3
_chemical_formula_sum 'Tl1 In1 Sb3'
_cell_length_a 5.689
_cell_length_b 5.689
_cell_length_c 5.689
_cell_angle_alpha 90.00
_cell_angle_beta 90.00
_cell_angle_gamma 90.00
_space_group_name_H-M_alt 'P 1'
_space_group_IT_number 1
loop_
_space_group_symop_operation_xyz
'x,y,z'
loop_
_atom_site_label
_atom_site_type_symbol
_atom_site_fract_x
_atom_site_fract_y
_atom_site_fract_z
_atom_site_occupancy
Sb1 Sb 0.000 0.500 0.000 1
Sb2 Sb 0.000 0.000 0.500 1
Sb3 Sb 0.500 0.000 0.000 1
Tl1 Tl 0.500 0.500 0.500 1
In1 In 0.000 0.000 0.000 1
# Calculated density, g/cm3: 6.175
# SG: Pm-3m
# Crystal system: cubic

***

# TlInSb | Alexandria via LeMat-Bulk | PBE | optimized geometry
data_TlInSb
_chemical_formula_sum 'Tl1 In1 Sb1'
_cell_length_a 8.322
_cell_length_b 8.322
_cell_length_c 8.322
_cell_angle_alpha 156.71
_cell_angle_beta 156.71
_cell_angle_gamma 33.17
_space_group_name_H-M_alt 'P 1'
_space_group_IT_number 1
loop_
_space_group_symop_operation_xyz
'x,y,z'
loop_
_atom_site_label
_atom_site_type_symbol
_atom_site_fract_x
_atom_site_fract_y
_atom_site_fract_z
_atom_site_occupancy
In1 In 0.990 0.990 0.000 1
Sb1 Sb 0.338 0.338 0.000 1
Tl1 Tl 0.672 0.672 0.000 1
# Calculated density, g/cm3: 8.137
# SG: I4mm
# Crystal system: tetragonal

***

# TlInSb2 | Alexandria via LeMat-Bulk | PBE | optimized geometry
data_TlInSb2
_chemical_formula_sum 'Tl1 In1 Sb2'
_cell_length_a 6.190
_cell_length_b 6.190
_cell_length_c 3.306
_cell_angle_alpha 89.96
_cell_angle_beta 89.96
_cell_angle_gamma 114.35
_space_group_name_H-M_alt 'P 1'
_space_group_IT_number 1
loop_
_space_group_symop_operation_xyz
'x,y,z'
loop_
_atom_site_label
_atom_site_type_symbol
_atom_site_fract_x
_atom_site_fract_y
_atom_site_fract_z
_atom_site_occupancy
In1 In 0.000 0.500 0.500 1
Sb1 Sb 0.000 0.000 0.000 1
Sb2 Sb 0.500 0.500 0.000 1
Tl1 Tl 0.500 0.000 0.500 1
# Calculated density, g/cm3: 8.099
# SG: Cmmm
# Crystal system: orthorhombic

***

# Tl3InSb | Alexandria via LeMat-Bulk | PBE | optimized geometry
data_Tl3InSb
_chemical_formula_sum 'Tl6 In2 Sb2'
_cell_length_a 5.871
_cell_length_b 6.575
_cell_length_c 9.180
_cell_angle_alpha 69.01
_cell_angle_beta 90.00
_cell_angle_gamma 90.00
_space_group_name_H-M_alt 'P 1'
_space_group_IT_number 1
loop_
_space_group_symop_operation_xyz
'x,y,z'
loop_
_atom_site_label
_atom_site_type_symbol
_atom_site_fract_x
_atom_site_fract_y
_atom_site_fract_z
_atom_site_occupancy
Tl1 Tl 0.750 0.910 0.670 1
Tl2 Tl 0.750 0.419 0.670 1
Tl3 Tl 0.250 0.581 0.330 1
Tl4 Tl 0.250 0.090 0.330 1
Tl5 Tl 0.000 0.000 0.000 1
Tl6 Tl 0.500 0.000 0.000 1
In1 In 0.750 0.451 0.099 1
In2 In 0.250 0.549 0.901 1
Sb1 Sb 0.750 0.826 0.347 1
Sb2 Sb 0.250 0.174 0.653 1
# Calculated density, g/cm3: 8.529
# SG: Cmcm
# Crystal system: orthorhombic

***

# Tl2InSb | Alexandria via LeMat-Bulk | PBE | optimized geometry
data_Tl2InSb
_chemical_formula_sum 'Tl2 In1 Sb1'
_cell_length_a 6.751
_cell_length_b 6.751
_cell_length_c 6.751
_cell_angle_alpha 149.23
_cell_angle_beta 130.11
_cell_angle_gamma 59.77
_space_group_name_H-M_alt 'P 1'
_space_group_IT_number 1
loop_
_space_group_symop_operation_xyz
'x,y,z'
loop_
_atom_site_label
_atom_site_type_symbol
_atom_site_fract_x
_atom_site_fract_y
_atom_site_fract_z
_atom_site_occupancy
In1 In 0.750 0.250 0.500 1
Sb1 Sb 0.250 0.750 0.500 1
Tl1 Tl 0.009 0.009 0.000 1
Tl2 Tl 0.491 0.491 0.000 1
# Calculated density, g/cm3: 8.975
# SG: Immm
# Crystal system: orthorhombic

***

# Tl2InSb | Alexandria via LeMat-Bulk | PBE | optimized geometry
data_Tl2InSb
_chemical_formula_sum 'Tl2 In1 Sb1'
_cell_length_a 5.551
_cell_length_b 5.551
_cell_length_c 5.551
_cell_angle_alpha 60.00
_cell_angle_beta 60.00
_cell_angle_gamma 60.00
_space_group_name_H-M_alt 'P 1'
_space_group_IT_number 1
loop_
_space_group_symop_operation_xyz
'x,y,z'
loop_
_atom_site_label
_atom_site_type_symbol
_atom_site_fract_x
_atom_site_fract_y
_atom_site_fract_z
_atom_site_occupancy
Sb1 Sb 0.750 0.750 0.750 1
Tl1 Tl 0.000 0.000 0.000 1
Tl2 Tl 0.250 0.250 0.250 1
In1 In 0.500 0.500 0.500 1
# Calculated density, g/cm3: 8.859
# SG: F-43m
# Crystal system: cubic

***

# Tl12In7Sb | Alexandria via LeMat-Bulk | PBE | optimized geometry
data_Tl12In7Sb
_chemical_formula_sum 'Tl12 In7 Sb1'
_cell_length_a 6.470
_cell_length_b 10.845
_cell_length_c 10.845
_cell_angle_alpha 116.15
_cell_angle_beta 101.47
_cell_angle_gamma 101.47
_space_group_name_H-M_alt 'P 1'
_space_group_IT_number 1
loop_
_space_group_symop_operation_xyz
'x,y,z'
loop_
_atom_site_label
_atom_site_type_symbol
_atom_site_fract_x
_atom_site_fract_y
_atom_site_fract_z
_atom_site_occupancy
Tl1 Tl 0.193 0.559 0.183 1
Tl2 Tl 0.990 0.183 0.624 1
Tl3 Tl 0.607 0.682 0.052 1
Tl4 Tl 0.444 0.052 0.369 1
Tl5 Tl 0.366 0.376 0.559 1
Tl6 Tl 0.075 0.631 0.682 1
Tl7 Tl 0.925 0.369 0.318 1
Tl8 Tl 0.634 0.624 0.441 1
Tl9 Tl 0.556 0.948 0.631 1
Tl10 Tl 0.393 0.318 0.948 1
Tl11 Tl 0.010 0.817 0.376 1
Tl12 Tl 0.807 0.441 0.817 1
In1 In 0.155 0.766 0.044 1
In2 In 0.890 0.044 0.278 1
In3 In 0.611 0.722 0.766 1
In4 In 0.500 0.000 0.000 1
In5 In 0.389 0.278 0.234 1
In6 In 0.110 0.956 0.722 1
In7 In 0.845 0.234 0.956 1
Sb1 Sb 0.000 0.000 0.000 1
# Calculated density, g/cm3: 8.862
# SG: R-3
# Crystal system: trigonal

***

# Tl2InSb | Alexandria via LeMat-Bulk | PBE | optimized geometry
data_Tl2InSb
_chemical_formula_sum 'Tl2 In1 Sb1'
_cell_length_a 4.101
_cell_length_b 4.101
_cell_length_c 7.084
_cell_angle_alpha 90.00
_cell_angle_beta 90.00
_cell_angle_gamma 90.00
_space_group_name_H-M_alt 'P 1'
_space_group_IT_number 1
loop_
_space_group_symop_operation_xyz
'x,y,z'
loop_
_atom_site_label
_atom_site_type_symbol
_atom_site_fract_x
_atom_site_fract_y
_atom_site_fract_z
_atom_site_occupancy
In1 In 0.500 0.500 0.250 1
Sb1 Sb 0.500 0.500 0.750 1
Tl1 Tl 0.000 0.000 0.992 1
Tl2 Tl 0.000 0.000 0.508 1
# Calculated density, g/cm3: 8.995
# SG: P4/mmm
# Crystal system: tetragonal

***

# TlInSb | Alexandria via LeMat-Bulk | PBE | optimized geometry
data_TlInSb
_chemical_formula_sum 'Tl2 In2 Sb2'
_cell_length_a 6.411
_cell_length_b 3.284
_cell_length_c 11.563
_cell_angle_alpha 80.14
_cell_angle_beta 48.95
_cell_angle_gamma 90.68
_space_group_name_H-M_alt 'P 1'
_space_group_IT_number 1
loop_
_space_group_symop_operation_xyz
'x,y,z'
loop_
_atom_site_label
_atom_site_type_symbol
_atom_site_fract_x
_atom_site_fract_y
_atom_site_fract_z
_atom_site_occupancy
Tl1 Tl 0.349 0.481 0.978 1
Tl2 Tl 0.105 0.805 0.351 1
In1 In 0.635 0.317 0.328 1
In2 In 0.818 0.963 0.001 1
Sb1 Sb 0.990 0.144 0.659 1
Sb2 Sb 0.464 0.142 0.670 1
# Calculated density, g/cm3: 8.212
# SG: P1
# Crystal system: triclinic

***

# TlInSb2 | Alexandria via LeMat-Bulk | PBE | optimized geometry
data_TlInSb2
_chemical_formula_sum 'Tl1 In1 Sb2'
_cell_length_a 11.310
_cell_length_b 11.310
_cell_length_c 11.310
_cell_angle_alpha 17.51
_cell_angle_beta 17.51
_cell_angle_gamma 17.51
_space_group_name_H-M_alt 'P 1'
_space_group_IT_number 1
loop_
_space_group_symop_operation_xyz
'x,y,z'
loop_
_atom_site_label
_atom_site_type_symbol
_atom_site_fract_x
_atom_site_fract_y
_atom_site_fract_z
_atom_site_occupancy
In1 In 0.750 0.750 0.750 1
Sb1 Sb 0.005 0.005 0.005 1
Sb2 Sb 0.495 0.495 0.495 1
Tl1 Tl 0.250 0.250 0.250 1
# Calculated density, g/cm3: 8.173
# SG: R-3m
# Crystal system: trigonal

***

# TlInSb | Alexandria via LeMat-Bulk | PBE | optimized geometry
data_TlInSb
_chemical_formula_sum 'Tl1 In1 Sb1'
_cell_length_a 5.475
_cell_length_b 5.475
_cell_length_c 3.376
_cell_angle_alpha 90.00
_cell_angle_beta 90.00
_cell_angle_gamma 120.00
_space_group_name_H-M_alt 'P 1'
_space_group_IT_number 1
loop_
_space_group_symop_operation_xyz
'x,y,z'
loop_
_atom_site_label
_atom_site_type_symbol
_atom_site_fract_x
_atom_site_fract_y
_atom_site_fract_z
_atom_site_occupancy
In1 In 0.000 0.000 0.157 1
Sb1 Sb 0.667 0.333 0.176 1
Tl1 Tl 0.333 0.667 0.667 1
# Calculated density, g/cm3: 8.356
# SG: P3m1
# Crystal system: trigonal

***

# Tl2InSb | Alexandria via LeMat-Bulk | PBE | optimized geometry
data_Tl2InSb
_chemical_formula_sum 'Tl2 In1 Sb1'
_cell_length_a 3.451
_cell_length_b 4.961
_cell_length_c 6.941
_cell_angle_alpha 90.00
_cell_angle_beta 90.00
_cell_angle_gamma 90.00
_space_group_name_H-M_alt 'P 1'
_space_group_IT_number 1
loop_
_space_group_symop_operation_xyz
'x,y,z'
loop_
_atom_site_label
_atom_site_type_symbol
_atom_site_fract_x
_atom_site_fract_y
_atom_site_fract_z
_atom_site_occupancy
Sb1 Sb 0.500 0.500 0.750 1
Tl1 Tl 0.000 0.000 0.997 1
Tl2 Tl 0.000 0.000 0.503 1
In1 In 0.500 0.500 0.250 1
# Calculated density, g/cm3: 9.019
# SG: Pmmm
# Crystal system: orthorhombic

***

# Tl2InSb | Alexandria via LeMat-Bulk | PBE | optimized geometry
data_Tl2InSb
_chemical_formula_sum 'Tl2 In1 Sb1'
_cell_length_a 5.536
_cell_length_b 5.536
_cell_length_c 5.536
_cell_angle_alpha 60.00
_cell_angle_beta 60.00
_cell_angle_gamma 60.00
_space_group_name_H-M_alt 'P 1'
_space_group_IT_number 1
loop_
_space_group_symop_operation_xyz
'x,y,z'
loop_
_atom_site_label
_atom_site_type_symbol
_atom_site_fract_x
_atom_site_fract_y
_atom_site_fract_z
_atom_site_occupancy
Sb1 Sb 0.500 0.500 0.500 1
Tl1 Tl 0.250 0.250 0.250 1
Tl2 Tl 0.750 0.750 0.750 1
In1 In 0.000 0.000 0.000 1
# Calculated density, g/cm3: 8.932
# SG: Fm-3m
# Crystal system: cubic

***

# Tl2InSb | Alexandria via LeMat-Bulk | PBE | optimized geometry
data_Tl2InSb
_chemical_formula_sum 'Tl2 In1 Sb1'
_cell_length_a 4.893
_cell_length_b 4.893
_cell_length_c 7.134
_cell_angle_alpha 69.95
_cell_angle_beta 69.95
_cell_angle_gamma 60.00
_space_group_name_H-M_alt 'P 1'
_space_group_IT_number 1
loop_
_space_group_symop_operation_xyz
'x,y,z'
loop_
_atom_site_label
_atom_site_type_symbol
_atom_site_fract_x
_atom_site_fract_y
_atom_site_fract_z
_atom_site_occupancy
Tl1 Tl 0.074 0.074 0.778 1
Tl2 Tl 0.259 0.259 0.223 1
In1 In 0.500 0.500 0.501 1
Sb1 Sb 0.668 0.668 0.997 1
# Calculated density, g/cm3: 7.891
# SG: R3m
# Crystal system: trigonal

***

# TlIn3Sb3 | Alexandria via LeMat-Bulk | PBE | optimized geometry
data_TlIn3Sb3
_chemical_formula_sum 'Tl2 In6 Sb6'
_cell_length_a 8.161
_cell_length_b 8.161
_cell_length_c 8.161
_cell_angle_alpha 90.00
_cell_angle_beta 90.00
_cell_angle_gamma 90.00
_space_group_name_H-M_alt 'P 1'
_space_group_IT_number 1
loop_
_space_group_symop_operation_xyz
'x,y,z'
loop_
_atom_site_label
_atom_site_type_symbol
_atom_site_fract_x
_atom_site_fract_y
_atom_site_fract_z
_atom_site_occupancy
Sb1 Sb 0.000 0.250 0.500 1
Sb2 Sb 0.000 0.750 0.500 1
Sb3 Sb 0.500 0.000 0.750 1
Sb4 Sb 0.750 0.500 0.000 1
Sb5 Sb 0.500 0.000 0.250 1
Sb6 Sb 0.250 0.500 0.000 1
Tl1 Tl 0.500 0.500 0.500 1
Tl2 Tl 0.000 0.000 0.000 1
In1 In 0.250 0.000 0.500 1
In2 In 0.000 0.500 0.250 1
In3 In 0.500 0.750 0.000 1
In4 In 0.750 0.000 0.500 1
In5 In 0.000 0.500 0.750 1
In6 In 0.500 0.250 0.000 1
# Calculated density, g/cm3: 5.585
# SG: Pm-3n
# Crystal system: cubic

***

# TlInSb | Alexandria via LeMat-Bulk | PBE | optimized geometry
data_TlInSb
_chemical_formula_sum 'Tl1 In1 Sb1'
_cell_length_a 8.719
_cell_length_b 8.604
_cell_length_c 3.288
_cell_angle_alpha 81.03
_cell_angle_beta 77.10
_cell_angle_gamma 21.87
_space_group_name_H-M_alt 'P 1'
_space_group_IT_number 1
loop_
_space_group_symop_operation_xyz
'x,y,z'
loop_
_atom_site_label
_atom_site_type_symbol
_atom_site_fract_x
_atom_site_fract_y
_atom_site_fract_z
_atom_site_occupancy
In1 In 0.993 0.993 0.007 1
Sb1 Sb 0.338 0.338 0.662 1
Tl1 Tl 0.670 0.670 0.330 1
# Calculated density, g/cm3: 8.258
# SG: Fmm2
# Crystal system: orthorhombic

***

# Tl3In6Sb | Alexandria via LeMat-Bulk | PBE | optimized geometry
data_Tl3In6Sb
_chemical_formula_sum 'Tl6 In12 Sb2'
_cell_length_a 4.195
_cell_length_b 10.887
_cell_length_c 13.270
_cell_angle_alpha 98.78
_cell_angle_beta 90.00
_cell_angle_gamma 90.00
_space_group_name_H-M_alt 'P 1'
_space_group_IT_number 1
loop_
_space_group_symop_operation_xyz
'x,y,z'
loop_
_atom_site_label
_atom_site_type_symbol
_atom_site_fract_x
_atom_site_fract_y
_atom_site_fract_z
_atom_site_occupancy
Tl1 Tl 0.750 0.775 0.280 1
Tl2 Tl 0.250 0.225 0.720 1
Tl3 Tl 0.750 0.489 0.792 1
Tl4 Tl 0.250 0.511 0.208 1
Tl5 Tl 0.750 0.129 0.916 1
Tl6 Tl 0.250 0.871 0.084 1
In1 In 0.750 0.609 0.042 1
In2 In 0.250 0.391 0.958 1
In3 In 0.750 0.068 0.236 1
In4 In 0.250 0.932 0.764 1
In5 In 0.750 0.996 0.590 1
In6 In 0.250 0.004 0.410 1
In7 In 0.750 0.266 0.526 1
In8 In 0.250 0.734 0.474 1
In9 In 0.750 0.504 0.403 1
In10 In 0.250 0.496 0.597 1
In11 In 0.750 0.803 0.892 1
In12 In 0.250 0.197 0.108 1
Sb1 Sb 0.750 0.730 0.655 1
Sb2 Sb 0.250 0.270 0.345 1
# Calculated density, g/cm3: 7.894
# SG: P2_1/m
# Crystal system: monoclinic

***

# TlInSb2 | Alexandria via LeMat-Bulk | PBE | optimized geometry
data_TlInSb2
_chemical_formula_sum 'Tl1 In1 Sb2'
_cell_length_a 6.333
_cell_length_b 6.333
_cell_length_c 6.333
_cell_angle_alpha 137.06
_cell_angle_beta 137.06
_cell_angle_gamma 62.34
_space_group_name_H-M_alt 'P 1'
_space_group_IT_number 1
loop_
_space_group_symop_operation_xyz
'x,y,z'
loop_
_atom_site_label
_atom_site_type_symbol
_atom_site_fract_x
_atom_site_fract_y
_atom_site_fract_z
_atom_site_occupancy
In1 In 0.750 0.250 0.500 1
Sb1 Sb 0.000 0.000 0.000 1
Sb2 Sb 0.500 0.500 0.000 1
Tl1 Tl 0.250 0.750 0.500 1
# Calculated density, g/cm3: 8.023
# SG: I4/mmm
# Crystal system: tetragonal

***

# Tl2InSb | Alexandria via LeMat-Bulk | PBE | optimized geometry
data_Tl2InSb
_chemical_formula_sum 'Tl2 In1 Sb1'
_cell_length_a 6.034
_cell_length_b 6.034
_cell_length_c 6.034
_cell_angle_alpha 131.78
_cell_angle_beta 131.78
_cell_angle_gamma 70.58
_space_group_name_H-M_alt 'P 1'
_space_group_IT_number 1
loop_
_space_group_symop_operation_xyz
'x,y,z'
loop_
_atom_site_label
_atom_site_type_symbol
_atom_site_fract_x
_atom_site_fract_y
_atom_site_fract_z
_atom_site_occupancy
Sb1 Sb 0.750 0.250 0.500 1
Tl1 Tl 0.000 0.000 0.000 1
Tl2 Tl 0.500 0.500 0.000 1
In1 In 0.250 0.750 0.500 1
# Calculated density, g/cm3: 8.951
# SG: I4/mmm
# Crystal system: tetragonal

***

Total energy for the records above, in order: -2.72 -2.93 -3.03 -3.26 -2.68 -2.85 -2.85 -2.51 -2.83 -3.04 -3.21 -3.04 -2.87 -2.84 -2.82 -3.19 -3.03 -2.72 -3.25 -2.87 eV per atom
Calculated volume for the records above, in order: 338.5 184.1 90.0 115.4 330.9 119.4 121.0 632.9 119.1 178.3 114.3 87.6 118.8 120.0 135.8 543.6 88.7 599.0 116.5 119.7 Å³ per cell
Energy relative to the elements, uncorrected for the records above, in order: -0.01 0.56 0.04 0.07 0.11 0.05 0.05 0.07 0.07 0.04 0.13 0.03 0.03 0.05 0.08 0.08 0.04 0.04 0.09 0.03 eV/atom